[1]
# AgSbW2 GGA-PBE relaxed
data_AgSbW2
_chemical_formula_sum 'Ag1 Sb1 W2'
_symmetry_space_group_name_H-M 'P 1'
_symmetry_Int_Tables_number 1
_symmetry_space_group_name_Hall 'P 1'
_cell_length_a 4.7137
_cell_length_b 2.8926
_cell_length_c 5.3789
_cell_angle_alpha 84.21
_cell_angle_beta 90.00
_cell_angle_gamma 90.00
loop_
_atom_site_label
_atom_site_fract_x
_atom_site_fract_y
_atom_site_fract_z
_atom_site_occupancy
Sb1 0.5000 0.7500 0.7500 1
Ag1 0.5000 0.2500 0.2500 1
W1 0.0000 0.9259 0.0200 1
W2 0.0000 0.5741 0.4800 1
# **Space-group type**: P2/m (10)
# **Formation energy without anion corrections**: 0.758 eV/atom

[2]
# MgHgPb GGA-PBE relaxed
data_MgHgPb
_chemical_formula_sum 'Mg2 Hg2 Pb2'
_symmetry_space_group_name_H-M 'P 1'
_symmetry_Int_Tables_number 1
_symmetry_space_group_name_Hall 'P 1'
_cell_length_a 4.7077
_cell_length_b 4.7077
_cell_length_c 11.6718
_cell_angle_alpha 90.00
_cell_angle_beta 90.00
_cell_angle_gamma 120.00
loop_
_atom_site_label
_atom_site_fract_x
_atom_site_fract_y
_atom_site_fract_z
_atom_site_occupancy
Pb1 0.0000 0.0000 0.0000 1
Pb2 0.0000 0.0000 0.5000 1
Mg1 0.3333 0.6667 0.2500 1
Mg2 0.6667 0.3333 0.7500 1
Hg1 0.0000 0.0000 0.2500 1
Hg2 0.0000 0.0000 0.7500 1
# **Space-group type**: P6_3/mmc (194)
# **ΔE_f**: 0.425 eV per atom

| no. | N(E_F) (states/eV/atom) |
| --- | --- |
| 1 | 0.569 |
| 2 | 0.806 |